Here is a geometry-optimized Pr2CrSnO6 structure from the Alexandria database. Energies are from GGA+U.

Cell lengths 5.614, 5.612, 5.957 Å; angles 118.10, 118.31, 90.00 degrees
Last column: magnetic moment on the atom in μB.
Positions (direct):
Pr 0.223 0.251 0.503  0.01
Pr 0.777 0.749 0.497  0.01
Cr 0.500 0.000 0.000  3.74
Sn 0.000 0.500 0.000  0.03
O 0.338 0.722 0.445  0.01
O 0.179 0.175 0.855  -0.01
O 0.821 0.320 0.145  -0.01
O 0.179 0.680 0.855  -0.01
O 0.821 0.825 0.145  -0.01
O 0.662 0.278 0.555  0.01

Properties
- Calculated volume: 140 Å³/f.u.
- E_tot: -7.568 eV per atom
- Crystal system: monoclinic
- Magnetic moment: 4.00 μB per formula unit